The following is a PBE-GGA calculation of an optimized crystal structure of TaIn2Pt, from Alexandria via LeMat-Bulk.

Cell: 4.7172 4.7172 3.4038 Å, 90.00 90.00 90.00°
Atoms (fractional coordinates):
1 Ta 0.0000 0.0000 0.0000
2 In 0.0000 0.5000 0.5000
3 In 0.5000 0.0000 0.5000
4 Pt 0.5000 0.5000 0.0000

Summary:
The energy relative to the lowest polymorph listed for this composition comes out at 0.165 eV/atom. As for the symmetry: P4/mmm (123). As for the mass density: 13.28 Mg/m³.


The following is a PBE-GGA calculation of an optimized crystal structure of Ce2YFe, from Alexandria via LeMat-Bulk.

Cell: 6.8485 9.4328 6.1348 Å, 90.00 90.00 90.00°
Atoms (fractional coordinates):
1 Ce 0.1506 0.0691 0.1404
2 Ce 0.1506 0.4309 0.1404
3 Ce 0.3494 0.5691 0.6404
4 Ce 0.3494 0.9309 0.6404
5 Ce 0.6506 0.0691 0.3596
6 Ce 0.6506 0.4309 0.3596
7 Ce 0.8494 0.5691 0.8596
8 Ce 0.8494 0.9309 0.8596
9 Y 0.0594 0.2500 0.6270
10 Y 0.4406 0.7500 0.1270
11 Y 0.5594 0.2500 0.8730
12 Y 0.9406 0.7500 0.3730
13 Fe 0.0658 0.7500 0.8816
14 Fe 0.4342 0.2500 0.3816
15 Fe 0.5658 0.7500 0.6184
16 Fe 0.9342 0.2500 0.1184

Summary:
The energy relative to the lowest polymorph listed for this composition comes out at 0.000 eV/atom. As for the symmetry: Pnma (62). As for the mass density: 7.12 Mg/m³.


The following is a PBE-GGA calculation of an optimized crystal structure of Na2InHg5Pb, from Alexandria via LeMat-Bulk.

Cell: 9.5253 9.5253 9.5253 Å, 129.43 129.43 74.33°
Atoms (fractional coordinates):
1 Na 0.1232 0.6232 0.7464
2 Na 0.3768 0.1232 0.5000
3 Na 0.6232 0.8768 0.5000
4 Na 0.8768 0.3768 0.2536
5 In 0.2500 0.7500 0.5000
6 In 0.7500 0.2500 0.5000
7 Hg 0.0000 0.0000 0.0000
8 Hg 0.0663 0.1510 0.5000
9 Hg 0.1510 0.6510 0.0847
10 Hg 0.3490 0.4337 0.5000
11 Hg 0.4337 0.9337 0.0847
12 Hg 0.5000 0.5000 0.0000
13 Hg 0.5663 0.0663 0.9153
14 Hg 0.6510 0.5663 0.5000
15 Hg 0.8490 0.3490 0.9153
16 Hg 0.9337 0.8490 0.5000
17 Pb 0.2500 0.2500 0.0000
18 Pb 0.7500 0.7500 0.0000

Summary:
The raw total energy comes out at -1.216 eV per atom. As for the symmetry: I4/mcm (140). As for the mass density: 9.06 Mg/m³.


The following is a PBE-GGA calculation of an optimized crystal structure of EuBrO, from Alexandria via LeMat-Bulk.

Cell: 3.9473 3.9473 8.8741 Å, 90.00 90.00 90.00°
Atoms (fractional coordinates):
1 Eu 0.2500 0.2500 0.1377
2 Eu 0.7500 0.7500 0.8623
3 Br 0.2500 0.2500 0.6785
4 Br 0.7500 0.7500 0.3215
5 O 0.2500 0.7500 0.0000
6 O 0.7500 0.2500 0.0000

Summary:
The raw total energy comes out at -7.938 eV per atom. As for the symmetry: P4/nmm (129). As for the mass density: 5.95 Mg/m³.


The following is a PBE-GGA calculation of an optimized crystal structure of SmPaSb2O8, from Alexandria via LeMat-Bulk.

Cell: 6.2868 6.2868 6.2868 Å, 109.01 109.01 110.41°
Atoms (fractional coordinates):
1 Sm 0.0000 0.0000 0.0000
2 Pa 0.2500 0.7500 0.5000
3 Sb 0.5000 0.5000 0.0000
4 Sb 0.7500 0.2500 0.5000
5 O 0.2878 0.0828 0.7950
6 O 0.2878 0.4928 0.2050
7 O 0.3778 0.0608 0.3170
8 O 0.5072 0.7122 0.7950
9 O 0.7438 0.0608 0.6830
10 O 0.9172 0.7122 0.2050
11 O 0.9392 0.2562 0.3170
12 O 0.9392 0.6222 0.6830

Summary:
The raw total energy comes out at -7.493 eV per atom. As for the symmetry: I-4m2 (119). As for the mass density: 6.54 Mg/m³.


The following is a PBE-GGA calculation of an optimized crystal structure of AcEuAgPt, from Alexandria via LeMat-Bulk.

Cell: 5.3371 5.3371 5.3371 Å, 60.00 60.00 60.00°
Atoms (fractional coordinates):
1 Ac 0.0000 0.0000 0.0000
2 Eu 0.5000 0.5000 0.5000
3 Ag 0.7500 0.7500 0.7500
4 Pt 0.2500 0.2500 0.2500

Summary:
The raw total energy comes out at -6.444 eV per atom. As for the symmetry: F-43m (216). As for the mass density: 10.53 Mg/m³.